[1]
A plane-wave DFT calculation with GGA-PBE was carried out for an optimized crystal structure of SrSm2As2.

Computed properties:
Crystal system ... trigonal
Electronic total energy ... -25.4 eV per cell

a b c (Å): 10.4304 10.4304 10.4304
angles (deg): 23.93 23.93 23.93
With the nearest neighbours (Å) after each atom.
Fractional coordinates of all 5 atoms:
As 0.3986 0.3986 0.3986  3 Sm 2.88, 3 Sr 3.19
As 0.6014 0.6014 0.6014  3 Sm 2.88, 3 Sr 3.19
Sm 0.2210 0.2210 0.2210  3 As 2.88
Sm 0.7790 0.7790 0.7790  3 As 2.88
Sr 0.0000 0.0000 0.0000  6 As 3.19

***

[2]
A plane-wave DFT calculation with GGA-PBE was carried out for an optimized crystal structure of SmTaAs.

Computed properties:
Crystal system ... cubic
Electronic total energy ... -18.3 eV per cell

a b c (Å): 4.9016 4.9016 4.9016
angles (deg): 60.00 60.00 60.00
With the nearest neighbours (Å) after each atom.
Fractional coordinates of all 3 atoms:
As 0.2500 0.2500 0.2500  4 Sm 3.00
Sm 0.0000 0.0000 0.0000  4 As 3.00, 4 Ta 3.00
Ta 0.7500 0.7500 0.7500  4 Sm 3.00

***

[3]
A plane-wave DFT calculation with GGA-PBE was carried out for an optimized crystal structure of SmTaAs.

Computed properties:
Crystal system ... cubic
Electronic total energy ... -21.3 eV per cell

a b c (Å): 4.6189 4.6189 4.6189
angles (deg): 60.00 60.00 60.00
With the nearest neighbours (Å) after each atom.
Fractional coordinates of all 3 atoms:
As 0.0000 0.0000 0.0000  4 Ta 2.83, 4 Sm 2.83
Sm 0.2500 0.2500 0.2500  4 As 2.83
Ta 0.7500 0.7500 0.7500  4 As 2.83